No. 1
This record from the Alexandria database describes crystalline BiAuI at its relaxed geometry. The functional is PBE-GGA.

Structure (POSCAR):
```
BiAuI
1.0
4.134 0.000 0.000
1.678 3.795 0.000
0.385 0.799 12.549
Bi Au I
2 2 2
Cartesian
1.036 2.007 2.202
5.160 2.587 10.347
3.089 3.918 11.876
3.107 0.676 0.673
2.979 3.366 4.418
3.218 1.229 8.130
```

Values from the calculation:
* formation energy without anion corrections: -0.143 eV per atom
* ΔE to the lowest computed polymorph: 0 meV per atom
* magnetization: 0.0 μB/cell
* symmetry: No. 2
* calculated density: 8.99 Mg/m³


No. 2
This record from the Alexandria database describes crystalline Cs2KTl at its relaxed geometry. The functional is PBE-GGA.

Structure (POSCAR):
```
Cs2KTl
1.0
6.646 0.000 0.000
0.000 6.646 0.000
0.000 0.000 5.864
Cs K Tl
2 1 1
Cartesian
0.000 3.323 0.000
3.323 0.000 0.000
0.000 0.000 2.932
3.323 3.323 2.932
```

Values from the calculation:
* energy of formation: 0.08 eV/atom
* ΔE to the lowest computed polymorph: 124 meV per atom
* magnetization: 0.3 μB/cell
* symmetry: No. 123
* calculated density: 3.27 Mg/m³